# 1
The following is a DFT calculation (GGA-PBE) of a relaxed HgAuI2 crystal.

Structure (extended XYZ):
```
8
Lattice="-3.514 3.514 6.668 3.514 -3.514 6.668 3.514 3.514 -6.668" Properties=species:S:1:pos:R:3 pbc="T T T"
Hg 0.000 0.000 0.000
Hg 0.000 3.514 3.334
Au 3.514 0.000 3.334
Au 0.000 0.000 6.668
I 1.757 -1.450 5.001
I 2.064 1.757 1.667
I 1.757 4.963 -1.667
I 1.450 1.757 8.335
```

Results
- Total DFT energy (no corrections): -13.04 eV per cell
- Distance to the lowest polymorph of the same formula: 0 meV/atom
- Formation energy (no corrections): 15 kJ/mol of formula units

# 2
The following is a DFT calculation (GGA-PBE) of a relaxed Hf2Cu4Pd3 crystal.

Structure (extended XYZ):
```
9
Lattice="4.490 -1.927 0.000 4.490 1.927 0.000 -3.014 0.000 7.831" Properties=species:S:1:pos:R:3 pbc="T T T"
Hf 0.823 0.000 1.782
Hf 5.144 0.000 6.048
Cu -1.190 0.000 6.983
Cu 3.456 0.000 2.592
Cu 2.511 0.000 5.238
Cu 7.157 0.000 0.847
Pd -0.210 0.000 4.407
Pd 4.490 0.000 0.000
Pd 6.177 0.000 3.423
```

Results
- Total DFT energy (no corrections): -55.69 eV per cell

# 3
The following is a DFT calculation (GGA-PBE) of a relaxed InNi4Sn crystal.

Structure (extended XYZ):
```
6
Lattice="3.017 0.000 0.000 0.000 3.971 0.000 0.000 0.000 7.781" Properties=species:S:1:pos:R:3 pbc="T T T"
In 0.000 0.000 0.000
Ni 0.000 1.986 1.794
Ni 0.000 1.986 5.987
Ni 1.508 0.000 2.174
Ni 1.508 0.000 5.607
Sn 1.508 1.986 3.891
```

Results
- Total DFT energy (no corrections): -29.48 eV per cell
- Distance to the lowest polymorph of the same formula: 93 meV/atom

# 4
The following is a DFT calculation (GGA-PBE) of a relaxed CdAu2Cl crystal.

Structure (extended XYZ):
```
4
Lattice="-1.593 3.181 4.460 1.593 -3.181 4.460 1.593 3.181 -4.460" Properties=species:S:1:pos:R:3 pbc="T T T"
Cd 0.000 0.000 0.000
Au 1.593 0.000 2.259
Au 0.000 0.000 4.483
Cl 0.000 3.181 2.311
```

Results
- Total DFT energy (no corrections): -9.45 eV per cell
- Distance to the lowest polymorph of the same formula: 223 meV/atom
- Formation energy (no corrections): -13 kJ/mol of formula units

# 5
The following is a DFT calculation (GGA-PBE) of a relaxed ZnMoPd crystal.

Structure (extended XYZ):
```
6
Lattice="13.258 0.000 0.000 0.000 1.468 2.342 0.000 -1.468 2.342" Properties=species:S:1:pos:R:3 pbc="T T T"
Zn 2.263 0.000 0.000
Zn 10.996 0.000 0.000
Mo 0.000 0.000 3.035
Mo 6.629 0.000 4.666
Pd 4.416 0.000 3.038
Pd 8.843 0.000 3.038
```

Results
- Total DFT energy (no corrections): -34.74 eV per cell

# 6
The following is a DFT calculation (GGA-PBE) of a relaxed NaAgPSe4 crystal.

Structure (extended XYZ):
```
14
Lattice="3.860 -6.230 0.000 3.860 6.230 0.000 0.000 0.000 7.935" Properties=species:S:1:pos:R:3 pbc="T T T"
Na 0.000 0.000 0.000
Na 0.000 0.000 3.967
Ag 3.860 1.685 5.951
Ag 3.860 -1.685 1.984
P 3.860 1.860 1.984
P 3.860 -1.860 5.951
Se 3.860 3.164 0.189
Se 3.860 3.164 3.778
Se 2.165 0.397 1.984
Se 2.165 -0.397 5.951
Se 5.556 0.397 1.984
Se 5.556 -0.397 5.951
Se 3.860 -3.164 4.157
Se 3.860 -3.164 7.746
```

Results
- Total DFT energy (no corrections): -49.99 eV per cell
- Formation energy (no corrections): -142 kJ/mol of formula units

# 7
The following is a DFT calculation (GGA-PBE) of a relaxed Sc2NbCdH crystal.

Structure (extended XYZ):
```
5
Lattice="4.499 0.000 0.000 0.000 4.499 0.000 0.000 0.000 4.174" Properties=species:S:1:pos:R:3 pbc="T T T"
Sc 0.000 2.250 0.000
Sc 2.250 0.000 0.000
Nb 0.000 0.000 2.087
Cd 2.250 2.250 2.087
H 0.000 0.000 0.000
```

Results
- Total DFT energy (no corrections): -27.84 eV per cell

# 8
The following is a DFT calculation (GGA-PBE) of a relaxed TaTiF crystal.

Structure (extended XYZ):
```
6
Lattice="2.912 0.000 0.000 1.254 2.633 0.000 0.556 0.360 12.340" Properties=species:S:1:pos:R:3 pbc="T T T"
Ta 0.000 0.000 0.000
Ta 2.082 1.316 2.414
Ti 0.289 0.180 4.691
Ti 2.932 1.858 10.064
F 1.527 0.971 8.819
F 3.051 1.925 5.936
```

Results
- Total DFT energy (no corrections): -52.04 eV per cell
- Formation energy (no corrections): -425 kJ/mol of formula units

# 9
The following is a DFT calculation (GGA-PBE) of a relaxed KTmSn2I8 crystal.

Structure (extended XYZ):
```
12
Lattice="7.281 0.000 0.000 0.172 7.746 0.000 0.009 0.003 9.578" Properties=species:S:1:pos:R:3 pbc="T T T"
K 0.000 0.000 0.000
Tm 0.004 0.002 4.789
Sn 3.728 3.876 2.405
Sn 3.734 3.874 7.174
I 1.767 2.495 4.791
I 1.943 6.547 6.901
I 1.944 6.551 2.675
I 2.040 2.829 0.003
I 5.422 4.920 9.576
I 5.518 1.198 6.904
I 5.519 1.202 2.678
I 5.695 5.254 4.787
```

Results
- Total DFT energy (no corrections): -36.91 eV per cell
- Formation energy (no corrections): -1055 kJ/mol of formula units

# 10
The following is a DFT calculation (GGA-PBE) of a relaxed RbZr2Cu2 crystal.

Structure (extended XYZ):
```
5
Lattice="-2.462 2.462 5.335 2.462 -2.462 5.335 2.462 2.462 -5.335" Properties=species:S:1:pos:R:3 pbc="T T T"
Rb 0.000 0.000 0.000
Zr 0.000 0.000 3.686
Zr 0.000 0.000 6.983
Cu 2.462 0.000 2.667
Cu 0.000 2.462 2.667
```

Results
- Total DFT energy (no corrections): -22.67 eV per cell

# 11
The following is a DFT calculation (GGA-PBE) of a relaxed Sr2CoBr crystal.

Structure (extended XYZ):
```
4
Lattice="3.724 0.000 0.000 0.000 3.712 0.000 -0.013 0.000 8.135" Properties=species:S:1:pos:R:3 pbc="T T T"
Sr 0.002 0.000 1.760
Sr 3.708 0.000 6.375
Co 1.862 1.856 0.000
Br 1.855 1.856 4.067
```

Results
- Total DFT energy (no corrections): -13.83 eV per cell
- Distance to the lowest polymorph of the same formula: 14 meV/atom
- Formation energy (no corrections): -163 kJ/mol of formula units

# 12
The following is a DFT calculation (GGA-PBE) of a relaxed LiCa4P crystal.

Structure (extended XYZ):
```
6
Lattice="0.000 4.715 4.715 4.715 0.000 4.715 4.715 4.715 0.000" Properties=species:S:1:pos:R:3 pbc="T T T"
Li 0.000 0.000 0.000
Ca 3.547 3.547 3.547
Ca 5.883 5.883 3.547
Ca 5.883 3.547 5.883
Ca 3.547 5.883 5.883
P 7.072 7.072 7.072
```

Results
- Total DFT energy (no corrections): -12.76 eV per cell

# 13
The following is a DFT calculation (GGA-PBE) of a relaxed NdGa4Pt6 crystal.

Structure (extended XYZ):
```
11
Lattice="-3.366 3.366 4.644 3.366 -3.366 4.644 3.366 3.366 -4.644" Properties=species:S:1:pos:R:3 pbc="T T T"
Nd 0.000 0.000 0.000
Ga 2.001 2.001 -1.608
Ga 1.364 -1.364 6.251
Ga 1.364 1.364 3.036
Ga -1.364 1.364 6.251
Pt 3.366 0.000 0.000
Pt 1.084 -1.084 3.627
Pt 2.282 2.282 1.016
Pt 0.000 3.366 0.000
Pt -1.084 1.084 3.627
Pt 1.084 1.084 5.660
```

Results
- Total DFT energy (no corrections): -59.19 eV per cell
- Distance to the lowest polymorph of the same formula: 254 meV/atom

# 14
The following is a DFT calculation (GGA-PBE) of a relaxed PrSm2Ho4Th crystal.

Structure (extended XYZ):
```
8
Lattice="5.090 0.000 0.000 0.000 5.110 0.000 0.000 0.000 9.989" Properties=species:S:1:pos:R:3 pbc="T T T"
Pr 0.000 0.000 0.000
Sm 0.000 0.000 4.994
Sm 2.545 2.555 0.000
Ho 0.000 2.555 2.550
Ho 0.000 2.555 7.439
Ho 2.545 0.000 2.553
Ho 2.545 0.000 7.436
Th 2.545 2.555 4.994
```

Results
- Total DFT energy (no corrections): -39.72 eV per cell

# 15
The following is a DFT calculation (GGA-PBE) of a relaxed EuSbPb crystal.

Structure (extended XYZ):
```
3
Lattice="5.329 0.000 0.000 -2.664 4.615 0.000 0.000 0.000 3.927" Properties=species:S:1:pos:R:3 pbc="T T T"
Eu 0.000 0.000 0.000
Sb 2.664 1.538 1.963
Pb 0.000 3.077 1.963
```

Results
- Total DFT energy (no corrections): -19.43 eV per cell
- Distance to the lowest polymorph of the same formula: 0 meV/atom
- Formation energy (no corrections): -128 kJ/mol of formula units

# 16
The following is a DFT calculation (GGA-PBE) of a relaxed PmAsPb crystal.

Structure (extended XYZ):
```
3
Lattice="4.961 0.000 0.000 -2.481 4.297 0.000 0.000 0.000 3.871" Properties=species:S:1:pos:R:3 pbc="T T T"
Pm 0.000 0.000 0.000
As 2.481 1.432 1.935
Pb 0.000 2.864 1.935
```

Results
- Total DFT energy (no corrections): -14.40 eV per cell
- Distance to the lowest polymorph of the same formula: 190 meV/atom

# 17
The following is a DFT calculation (GGA-PBE) of a relaxed TaCdTe crystal.

Structure (extended XYZ):
```
3
Lattice="5.037 0.000 0.000 -2.518 4.362 0.000 0.000 0.000 2.974" Properties=species:S:1:pos:R:3 pbc="T T T"
Ta 0.000 0.000 0.000
Cd 2.518 1.454 1.487
Te 0.000 2.908 0.000
```

Results
- Total DFT energy (no corrections): -14.51 eV per cell
- Distance to the lowest polymorph of the same formula: 305 meV/atom
- Formation energy (no corrections): 135 kJ/mol of formula units

# 18
The following is a DFT calculation (GGA-PBE) of a relaxed ThP12Os4 crystal.

Structure (extended XYZ):
```
17
Lattice="-4.062 4.062 4.062 4.062 -4.062 4.062 4.062 4.062 -4.062" Properties=species:S:1:pos:R:3 pbc="T T T"
Th 0.000 0.000 0.000
P 2.883 0.000 1.167
P 5.242 0.000 1.167
P 4.062 2.896 -1.180
P 1.167 2.883 0.000
P 2.896 -1.180 4.062
P 0.000 1.167 2.883
P 4.062 2.896 1.180
P 1.167 5.242 0.000
P 2.896 1.180 4.062
P 0.000 1.167 5.242
P -1.180 4.062 2.896
P 1.180 4.062 2.896
Os 2.031 2.031 -2.031
Os 2.031 -2.031 2.031
Os -2.031 2.031 2.031
Os 2.031 2.031 2.031
```

Results
- Total DFT energy (no corrections): -128.17 eV per cell

# 19
The following is a DFT calculation (GGA-PBE) of a relaxed Hf2GaRu crystal.

Structure (extended XYZ):
```
8
Lattice="-3.712 3.712 2.849 3.712 -3.712 2.849 3.712 3.712 -2.849" Properties=species:S:1:pos:R:3 pbc="T T T"
Hf 5.568 1.589 -0.712
Hf 1.589 1.856 0.712
Hf -1.856 2.123 2.137
Hf 2.123 1.856 3.561
Ga 3.712 0.000 1.425
Ga 0.000 0.000 2.849
Ru 0.000 0.000 0.000
Ru 0.000 3.712 1.425
```

Results
- Total DFT energy (no corrections): -64.19 eV per cell

# 20
The following is a DFT calculation (GGA-PBE) of a relaxed Na2GaSnTe5 crystal.

Structure (extended XYZ):
```
18
Lattice="1.980 -9.936 0.000 1.980 9.936 0.000 0.000 0.000 14.888" Properties=species:S:1:pos:R:3 pbc="T T T"
Na 1.980 7.948 7.444
Na 1.980 7.464 2.296
Na 1.980 -7.464 9.740
Na 1.980 -7.948 0.000
Ga 1.980 1.439 3.928
Ga 1.980 -1.439 11.372
Sn 1.980 5.453 13.087
Sn 1.980 -5.453 5.643
Te 1.980 8.705 13.118
Te 1.980 4.625 7.790
Te 1.980 4.082 3.412
Te 1.980 2.646 12.405
Te 1.980 0.084 1.722
Te 1.980 -0.084 9.166
Te 1.980 -2.646 4.961
Te 1.980 -4.082 10.856
Te 1.980 -4.625 0.346
Te 1.980 -8.705 5.674
```

Results
- Total DFT energy (no corrections): -57.99 eV per cell
- Formation energy (no corrections): -349 kJ/mol of formula units

The magnetization results, record by record, are as follows: 0.00 0.00 0.00 0.00 0.00 0.00 0.00 0.00 0.00 1.01 0.45 0.00 0.00 0.00 7.15 0.00 0.00 0.00 0.00 0.00 μB per cell.